Density functional theory data (PBE with a Hubbard U) for a geometry-optimized HoScCr2O8 structure. Values from VASP.

Space group: I-4m2
E_tot: -7.708 eV/atom

```
&SYSTEM
  ibrav = 0, nat = 12, ntyp = 4
/
ATOMIC_SPECIES
Ho 164.93 Ho.upf
Sc 44.96 Sc.upf
Cr 52.00 Cr.upf
O 16.00 O.upf
ATOMIC_POSITIONS crystal
Ho 0.250 0.750 0.500
Sc 0.000 0.000 0.000
Cr 0.750 0.250 0.500
Cr 0.500 0.500 0.000
O 0.384 0.075 0.309
O 0.317 0.500 0.183
O 0.317 0.134 0.817
O 0.766 0.075 0.691
O 0.866 0.683 0.183
O 0.925 0.234 0.309
O 0.925 0.616 0.691
O 0.500 0.683 0.817
CELL_PARAMETERS angstrom
-4.071 1.472 3.954
4.113 -3.777 1.787
2.818 4.957 -1.364
```